An optimized crystal structure of Co2TcRhO6. Source: Alexandria, functional PBE+U.

## Properties
- total DFT energy (no corrections) (eV/atom) = -6.769
- total magnetization (μB per formula unit) = 7.98

Unit cell a=5.187 b=5.187 c=5.510 alpha=61.93 beta=61.95 gamma=60.00
Site moments in Bohr magnetons follow the coordinates.
Fractional coordinates of all 10 atoms:
O 0.707 0.097 0.769  0.11
O 0.936 0.585 0.262  0.11
O 0.217 0.936 0.262  0.11
O 0.585 0.217 0.262  0.11
O 0.427 0.707 0.768  0.11
O 0.097 0.427 0.769  0.11
Rh 0.821 0.821 0.536  0.17
Tc 0.321 0.321 0.037  1.48
Co 0.526 0.527 0.421  2.71
Co 0.024 0.023 0.930  2.70